First-principles (PBE-GGA) data for a geometry-optimized MnCu3Hg structure, as listed in Alexandria via LeMat-Bulk.

abc: 4.600 4.600 4.600
angles: 90.00 90.00 90.00
Sites, in units of the cell vectors:
Mn  0.000  0.000  0.000
Hg  0.500  0.500  0.500
Cu  0.000  0.500  0.000
Cu  0.000  0.000  0.500
Cu  0.500  0.000  0.000

Output
ΔH_f (0 K): 0.95 eV per atom
E_tot: -3.40 eV per atom
N(E_F): 0.5356 states/eV per atom